1.
AlTeP after structural relaxation, computed with PBE.

Lattice parameters (Å, degrees): 3.865 5.824 11.778 90.00 90.00 90.00
Sites, in units of the cell vectors:
Al1 0.000 0.000 0.000
Al2 0.000 0.500 0.500
Al3 0.500 0.000 0.500
Al4 0.500 0.500 0.000
Te1 0.000 0.000 0.326
Te2 0.000 0.500 0.826
Te3 0.500 0.000 0.826
Te4 0.500 0.500 0.326
P1 0.000 0.000 0.614
P2 0.000 0.500 0.114
P3 0.500 0.000 0.114
P4 0.500 0.500 0.614

Summary:
The offset from the most stable computed form is 25.3 kJ per mole of atoms. Its uncorrected formation energy is 0.246 eV/atom. Its space group is Fmm2 (42). For the density of states at the Fermi level, the calculation gives 8.383 states/eV/cell. The volume is 22.09 Å³/atom.

2.
ZnGeSe2 after structural relaxation, computed with PBE.

Lattice parameters (Å, degrees): 6.433 4.951 6.324 90.00 103.76 90.00
Sites, in units of the cell vectors:
Zn1 0.000 0.000 0.000
Zn2 0.500 0.500 0.000
Ge1 0.000 0.590 0.500
Ge2 0.500 0.090 0.500
Se1 0.209 0.227 0.760
Se2 0.291 0.727 0.240
Se3 0.709 0.727 0.760
Se4 0.791 0.227 0.240

Summary:
Its uncorrected formation energy is -0.384 eV/atom. Its space group is C2 (5). The volume is 24.45 Å³/atom.

3.
TbEr3Pb3 after structural relaxation, computed with PBE.

Lattice parameters (Å, degrees): 8.061 8.061 8.061 69.17 69.17 69.17
Sites, in units of the cell vectors:
Tb1 0.170 0.170 0.170
Tb2 0.830 0.830 0.830
Er1 0.165 0.665 0.414
Er2 0.335 0.586 0.835
Er3 0.414 0.165 0.665
Er4 0.586 0.835 0.335
Er5 0.665 0.414 0.165
Er6 0.835 0.335 0.586
Pb1 0.030 0.413 0.812
Pb2 0.188 0.970 0.587
Pb3 0.413 0.812 0.030
Pb4 0.587 0.188 0.970
Pb5 0.812 0.030 0.413
Pb6 0.970 0.587 0.188

Summary:
Its space group is R-3 (148). For the density of states at the Fermi level, the calculation gives 14.729 states/eV/cell. The volume is 31.54 Å³/atom. As for the energy: -4.5337 eV/atom.

no.,size of the total moment (μB per cell)
1,0.00
2,0.00
3,0.00